Run a
A plane-wave DFT calculation with PBE-GGA was carried out for a relaxed DyTmRh crystal.

## Properties
- size of the total moment (μB per atom) = 0.00

Cell: 4.4795 4.4795 14.4621 Å, 90.00 90.00 90.00°
Last column: nearest neighbours and their distance in Å.
Atoms (fractional coordinates):
Dy  0.0000  0.0000  0.1852  1 Rh 2.72
Dy  0.0000  0.0000  0.8148  1 Rh 2.72
Dy  0.5000  0.5000  0.3148  1 Rh 2.72
Dy  0.5000  0.5000  0.6852  1 Rh 2.72
Tm  0.0000  0.5000  0.0000  4 Rh 2.90, 4 Tm 3.17
Tm  0.0000  0.5000  0.5000  4 Rh 2.90, 4 Tm 3.17
Tm  0.5000  0.0000  0.0000  4 Rh 2.90, 4 Tm 3.17
Tm  0.5000  0.0000  0.5000  4 Rh 2.90, 4 Tm 3.17
Rh  0.0000  0.0000  0.3731  1 Dy 2.72, 4 Tm 2.90
Rh  0.0000  0.0000  0.6269  1 Dy 2.72, 4 Tm 2.90
Rh  0.5000  0.5000  0.1269  1 Dy 2.72, 4 Tm 2.90
Rh  0.5000  0.5000  0.8731  1 Dy 2.72, 4 Tm 2.90


Run b
A plane-wave DFT calculation with PBE-GGA was carried out for a relaxed DyTmRh crystal.

## Properties
- size of the total moment (μB per atom) = 0.00

Cell: 6.7531 6.7531 6.7531 Å, 90.00 90.00 90.00°
Last column: nearest neighbours and their distance in Å.
Atoms (fractional coordinates):
Dy  0.0000  0.0000  0.0000  4 Rh 2.92
Dy  0.0000  0.5000  0.5000  4 Rh 2.92
Dy  0.5000  0.0000  0.5000  4 Rh 2.92
Dy  0.5000  0.5000  0.0000  4 Rh 2.92
Tm  0.0000  0.0000  0.5000  4 Rh 2.92
Tm  0.0000  0.5000  0.0000  4 Rh 2.92
Tm  0.5000  0.0000  0.0000  4 Rh 2.92
Tm  0.5000  0.5000  0.5000  4 Rh 2.92
Rh  0.2500  0.2500  0.7500  4 Dy 2.92, 4 Tm 2.92
Rh  0.2500  0.7500  0.2500  4 Dy 2.92, 4 Tm 2.92
Rh  0.7500  0.2500  0.2500  4 Dy 2.92, 4 Tm 2.92
Rh  0.7500  0.7500  0.7500  4 Dy 2.92, 4 Tm 2.92


Result of the stability comparison: run a is the least stable of them.


Run a
A plane-wave DFT calculation with PBE-GGA was carried out for a relaxed Dy3TmRh2 crystal.

## Properties
- size of the total moment (μB per atom) = 0.00

Cell: 8.2755 8.2755 10.6330 Å, 114.88 114.88 29.64°
Last column: nearest neighbours and their distance in Å.
Atoms (fractional coordinates):
Dy  0.0528  0.0528  0.2149  3 Rh 2.86
Dy  0.2113  0.2113  0.5951  3 Rh 2.80-2.81
Dy  0.3352  0.3352  0.9728  3 Rh 2.80-2.83
Dy  0.6648  0.6648  0.0272  3 Rh 2.80-2.83
Dy  0.7887  0.7887  0.4049  3 Rh 2.80-2.81
Dy  0.9472  0.9472  0.7851  3 Rh 2.86
Tm  0.4275  0.4275  0.3335  3 Rh 2.71-2.77
Tm  0.5725  0.5725  0.6665  3 Rh 2.71-2.77
Rh  0.1391  0.1391  0.8420  2 Tm 2.71, 4 Dy 2.80-2.86
Rh  0.3831  0.3831  0.5844  2 Tm 2.77-3.04, 5 Dy 2.80-2.86
Rh  0.6169  0.6169  0.4156  2 Tm 2.77-3.04, 5 Dy 2.80-2.86
Rh  0.8609  0.8609  0.1580  2 Tm 2.71, 4 Dy 2.80-2.86


Run b
A plane-wave DFT calculation with PBE-GGA was carried out for a relaxed Dy3TmRh2 crystal.

## Properties
- size of the total moment (μB per atom) = 0.00

Cell: 15.4115 4.2223 4.7080 Å, 90.00 107.77 90.00°
Last column: nearest neighbours and their distance in Å.
Atoms (fractional coordinates):
Dy  0.0000  0.0000  0.0000  4 Rh 3.02-3.03, 4 Tm 3.16
Dy  0.1856  0.5000  0.1853  1 Rh 2.72
Dy  0.3144  0.0000  0.8147  1 Rh 2.72
Dy  0.5000  0.5000  0.0000  4 Rh 3.02-3.03, 4 Tm 3.16
Dy  0.6856  0.0000  0.1853  1 Rh 2.72
Dy  0.8144  0.5000  0.8147  1 Rh 2.72
Tm  0.0000  0.5000  0.5000  4 Rh 2.84, 4 Dy 3.16
Tm  0.5000  0.0000  0.5000  4 Rh 2.84, 4 Dy 3.16
Rh  0.1294  0.0000  0.6306  3 Dy 2.72-3.03, 2 Tm 2.84
Rh  0.3706  0.5000  0.3694  3 Dy 2.72-3.03, 2 Tm 2.84
Rh  0.6294  0.5000  0.6306  3 Dy 2.72-3.03, 2 Tm 2.84
Rh  0.8706  0.0000  0.3694  3 Dy 2.72-3.03, 2 Tm 2.84


Result of the stability comparison: run b is the least stable of them.


Run a
A plane-wave DFT calculation with PBE-GGA was carried out for a relaxed Dy2TmRh2 crystal.

## Properties
- size of the total moment (μB per atom) = 0.00

Cell: 9.9275 6.8339 6.9468 Å, 90.00 93.31 90.00°
Last column: nearest neighbours and their distance in Å.
Atoms (fractional coordinates):
Dy  0.0211  0.2491  0.4709  3 Rh 2.80-2.84
Dy  0.0211  0.2509  0.9709  3 Rh 2.80-2.84
Dy  0.2950  0.6612  0.3660  5 Rh 2.80-3.10
Dy  0.2950  0.8388  0.8660  5 Rh 2.80-3.10
Dy  0.7050  0.1611  0.1340  5 Rh 2.80-3.10
Dy  0.7050  0.3388  0.6340  5 Rh 2.80-3.10
Dy  0.9789  0.7491  0.0291  3 Rh 2.80-2.84
Dy  0.9789  0.7509  0.5291  3 Rh 2.80-2.84
Tm  0.3719  0.1850  0.4939  5 Rh 2.77-2.99
Tm  0.3719  0.3150  0.9939  5 Rh 2.77-2.99
Tm  0.6281  0.6850  0.0061  5 Rh 2.77-2.99
Tm  0.6281  0.8150  0.5061  5 Rh 2.77-2.99
Rh  0.1643  0.0005  0.2272  5 Dy 2.80-3.10, 1 Tm 2.97, 1 Rh 3.00
Rh  0.1643  0.4995  0.7272  5 Dy 2.80-3.10, 1 Tm 2.97, 1 Rh 3.00
Rh  0.4628  0.5501  0.6991  4 Tm 2.77-2.99, 3 Dy 2.86-2.87, 2 Rh 2.98-3.00
Rh  0.4628  0.9499  0.1991  4 Tm 2.77-2.99, 3 Dy 2.86-2.87, 2 Rh 2.98-3.00
Rh  0.5372  0.0501  0.8009  4 Tm 2.77-2.99, 3 Dy 2.86-2.87, 2 Rh 2.98-3.00
Rh  0.5372  0.4499  0.3009  4 Tm 2.77-2.99, 3 Dy 2.86-2.87, 2 Rh 2.98-3.00
Rh  0.8357  0.5005  0.2728  5 Dy 2.80-3.10, 1 Tm 2.97, 1 Rh 3.00
Rh  0.8357  0.9995  0.7728  5 Dy 2.80-3.10, 1 Tm 2.97, 1 Rh 3.00


Run b
A plane-wave DFT calculation with PBE-GGA was carried out for a relaxed Dy2TmRh2 crystal.

## Properties
- size of the total moment (μB per atom) = 0.00

Cell: 7.6694 7.6694 5.5775 Å, 90.00 90.00 134.00°
Last column: nearest neighbours and their distance in Å.
Atoms (fractional coordinates):
Dy  0.0824  0.9176  0.7500  6 Rh 3.20-3.25, 4 Tm 3.50, 2 Dy 3.58
Dy  0.2787  0.7213  0.2500  2 Rh 2.64
Dy  0.7213  0.2787  0.7500  2 Rh 2.64
Dy  0.9176  0.0824  0.2500  6 Rh 3.20-3.25, 4 Tm 3.50, 2 Dy 3.58
Tm  0.5000  0.5000  0.0000  4 Rh 2.71, 2 Tm 2.79
Tm  0.5000  0.5000  0.5000  4 Rh 2.71, 2 Tm 2.79
Rh  0.1203  0.3670  0.7500  1 Dy 2.64, 2 Tm 2.71, 1 Rh 2.92
Rh  0.3670  0.1203  0.2500  1 Dy 2.64, 2 Tm 2.71, 1 Rh 2.92
Rh  0.6330  0.8797  0.7500  1 Dy 2.64, 2 Tm 2.71, 1 Rh 2.92
Rh  0.8797  0.6330  0.2500  1 Dy 2.64, 2 Tm 2.71, 1 Rh 2.92


Result of the stability comparison: run b is the least stable of them.


Run a
A plane-wave DFT calculation with PBE-GGA was carried out for a relaxed DyTm3Rh2 crystal.

## Properties
- size of the total moment (μB per atom) = 0.00

Cell: 8.2704 8.2704 8.2704 Å, 132.69 71.23 130.07°
Last column: nearest neighbours and their distance in Å.
Atoms (fractional coordinates):
Dy  0.0000  0.0000  0.0000  2 Rh 2.68
Dy  0.5000  0.5000  0.0000  2 Rh 2.68
Tm  0.0174  0.2500  0.7674  4 Rh 2.83-2.89
Tm  0.2500  0.7500  0.5000  4 Rh 2.91
Tm  0.4826  0.2500  0.2326  4 Rh 2.83-2.89
Tm  0.5174  0.7500  0.7674  4 Rh 2.83-2.89
Tm  0.7500  0.2500  0.5000  4 Rh 2.91
Tm  0.9826  0.7500  0.2326  4 Rh 2.83-2.89
Rh  0.1388  0.7102  0.8491  1 Dy 2.68, 6 Tm 2.83-2.91
Rh  0.3612  0.2102  0.5714  1 Dy 2.68, 6 Tm 2.83-2.91
Rh  0.6388  0.7898  0.4286  1 Dy 2.68, 6 Tm 2.83-2.91
Rh  0.8612  0.2898  0.1509  1 Dy 2.68, 6 Tm 2.83-2.91


Run b
A plane-wave DFT calculation with PBE-GGA was carried out for a relaxed DyTm3Rh2 crystal.

## Properties
- size of the total moment (μB per atom) = 0.00

Cell: 4.5673 8.6756 7.1527 Å, 90.00 90.00 90.00°
Last column: nearest neighbours and their distance in Å.
Atoms (fractional coordinates):
Dy  0.0000  0.0850  0.0000  3 Rh 2.79-3.00
Dy  0.0000  0.9150  0.5000  3 Rh 2.79-3.00
Tm  0.0000  0.3307  0.6295  4 Rh 2.84-2.92
Tm  0.0000  0.6693  0.1295  4 Rh 2.84-2.92
Tm  0.5000  0.1721  0.3468  4 Rh 2.84-2.97
Tm  0.5000  0.4152  0.9756  3 Rh 2.77-2.99
Tm  0.5000  0.5848  0.4756  3 Rh 2.77-2.99
Tm  0.5000  0.8279  0.8468  4 Rh 2.84-2.97
Rh  0.0000  0.3437  0.2319  1 Dy 2.79, 6 Tm 2.85-2.99
Rh  0.0000  0.6563  0.7319  1 Dy 2.79, 6 Tm 2.85-2.99
Rh  0.5000  0.1593  0.7435  5 Tm 2.77-2.97, 2 Dy 3.00
Rh  0.5000  0.8407  0.2435  5 Tm 2.77-2.97, 2 Dy 3.00


Result of the stability comparison: run a is the least stable of them.


Run a
A plane-wave DFT calculation with PBE-GGA was carried out for a relaxed Dy2TmRh crystal.

## Properties
- size of the total moment (μB per atom) = 0.00

Cell: 3.8031 11.7529 9.3761 Å, 90.00 90.00 90.00°
Last column: nearest neighbours and their distance in Å.
Atoms (fractional coordinates):
Dy  0.0000  0.1381  0.0667  2 Rh 2.86
Dy  0.0000  0.1381  0.4333  2 Rh 2.86
Dy  0.0000  0.8619  0.5667  2 Rh 2.86
Dy  0.0000  0.8619  0.9333  2 Rh 2.86
Dy  0.5000  0.3619  0.5667  2 Rh 2.86
Dy  0.5000  0.3619  0.9333  2 Rh 2.86
Dy  0.5000  0.6381  0.0667  2 Rh 2.86
Dy  0.5000  0.6381  0.4333  2 Rh 2.86
Tm  0.0000  0.4236  0.2500  2 Rh 2.83
Tm  0.0000  0.5764  0.7500  2 Rh 2.83
Tm  0.5000  0.0764  0.7500  2 Rh 2.83
Tm  0.5000  0.9236  0.2500  2 Rh 2.83
Rh  0.0000  0.2549  0.7500  2 Tm 2.83, 4 Dy 2.86
Rh  0.0000  0.7451  0.2500  2 Tm 2.83, 4 Dy 2.86
Rh  0.5000  0.2451  0.2500  2 Tm 2.83, 4 Dy 2.86
Rh  0.5000  0.7549  0.7500  2 Tm 2.83, 4 Dy 2.86


Run b
A plane-wave DFT calculation with PBE-GGA was carried out for a relaxed Dy2TmRh crystal.

## Properties
- size of the total moment (μB per atom) = 0.00

Cell: 3.4980 3.4980 8.4958 Å, 90.00 90.00 90.00°
Last column: nearest neighbours and their distance in Å.
Atoms (fractional coordinates):
Dy  0.0000  0.0000  0.1918  4 Rh 2.96, 1 Dy 3.26
Dy  0.0000  0.0000  0.8082  4 Rh 2.96, 1 Dy 3.26
Tm  0.5000  0.5000  0.5000  4 Tm 3.50, 8 Dy 3.60
Rh  0.5000  0.5000  0.0000  8 Dy 2.96


Result of the stability comparison: run b is the least stable of them.